[1]
Here is MgF2 after structural relaxation from the Alexandria database. Energies are from PBE.

Results
Uncorrected formation energy, eV per atom: -3.550
Magnetization, μB/f.u.: 0.000
DOS at the Fermi energy, states/eV/cell: 0.0

Unit cell a=4.697 b=4.685 c=3.091 alpha=90.00 beta=90.00 gamma=90.00
Atoms (fractional coordinates):
F 0.305 0.302 0.500
F 0.805 0.198 0.000
F 0.695 0.698 0.500
F 0.195 0.802 0.000
Mg 0.500 0.500 0.000
Mg 0.000 0.000 0.500

=====

[2]
Here is Cs3CdSb after structural relaxation from the Alexandria database. Energies are from PBE.

Results
ΔE to the lowest computed polymorph, meV/atom: 0.0
Uncorrected formation energy, eV per atom: -0.074
Magnetization, μB/f.u.: 0.000
DOS at the Fermi energy, states/eV/cell: 2.4

Unit cell a=7.527 b=7.527 c=7.527 alpha=90.00 beta=90.00 gamma=90.00
Atoms (fractional coordinates):
Cs 0.000 0.000 0.500
Cs 0.500 0.000 0.000
Cs 0.000 0.500 0.000
Cd 0.500 0.500 0.500
Sb 0.000 0.000 0.000

=====

[3]
Here is RbSiF6 after structural relaxation from the Alexandria database. Energies are from PBE.

Results
Uncorrected formation energy, eV per atom: -2.718
Magnetization, μB/f.u.: 1.042
DOS at the Fermi energy, states/eV/cell: 9.1

Unit cell a=5.051 b=5.051 c=5.051 alpha=96.90 beta=96.90 gamma=96.90
Each line ends with the local moment (μB).
Atoms (fractional coordinates):
Rb 0.000 0.000 0.000  0.00
F 0.264 0.264 0.581  0.16
F 0.419 0.736 0.736  0.16
F 0.581 0.264 0.264  0.16
F 0.736 0.419 0.736  0.16
F 0.264 0.581 0.264  0.16
F 0.736 0.736 0.419  0.16
Si 0.500 0.500 0.500  -0.01

=====

Question: Which of these has the highest DOS at the Fermi energy?
Answer: RbSiF6